[1]
The following is a PBE calculation of a relaxed structure of Cs2LiCu3F12, from the Alexandria database.

Output
Its uncorrected formation energy is -1.938 eV per atom.

Lattice parameters (Å, degrees): 7.1571 7.1571 7.1571 62.46 62.46 62.46
Closest atoms and distances in Å follow each position.
Fractional coordinates of all 18 atoms:
Cs  0.1251  0.1251  0.1251  6 F 3.07-3.24
Cs  0.8749  0.8749  0.8749  6 F 3.07-3.24
Li  0.5000  0.5000  0.5000  6 F 2.08
Cu  0.0000  0.5000  0.5000  6 F 1.83-1.96
Cu  0.5000  0.0000  0.5000  6 F 1.83-1.96
Cu  0.5000  0.5000  0.0000  6 F 1.83-1.96
F  0.1609  0.5764  0.5764  1 Cu 1.83
F  0.1897  0.1897  0.5692  2 Cu 1.96
F  0.1897  0.5692  0.1897  2 Cu 1.96
F  0.4236  0.4236  0.8391  1 Cu 1.83
F  0.4236  0.8391  0.4236  1 Cu 1.83
F  0.4308  0.8103  0.8103  2 Cu 1.96
F  0.5692  0.1897  0.1897  2 Cu 1.96
F  0.5764  0.1609  0.5764  1 Cu 1.83
F  0.5764  0.5764  0.1609  1 Cu 1.83
F  0.8103  0.4308  0.8103  2 Cu 1.96
F  0.8103  0.8103  0.4308  2 Cu 1.96
F  0.8391  0.4236  0.4236  1 Cu 1.83


[2]
The following is a PBE calculation of a relaxed structure of CsMgCu2F8, from the Alexandria database.

Output
Its uncorrected formation energy is -2.093 eV per atom.

Lattice parameters (Å, degrees): 8.2301 8.2301 8.2301 38.75 38.75 38.75
Closest atoms and distances in Å follow each position.
Fractional coordinates of all 12 atoms:
Cs  0.0000  0.0000  0.0000  12 F 3.21-3.31
Mg  0.5000  0.5000  0.5000  6 F 2.00
Cu  0.2262  0.2262  0.2262  4 F 1.82-1.91
Cu  0.7738  0.7738  0.7738  4 F 1.82-1.91
F  0.1437  0.4538  0.7583  1 Cu 1.91, 1 Mg 2.00
F  0.2417  0.8563  0.5462  1 Cu 1.91, 1 Mg 2.00
F  0.3062  0.3062  0.3062  1 Cu 1.82
F  0.4538  0.7583  0.1437  1 Cu 1.91, 1 Mg 2.00
F  0.5462  0.2417  0.8563  1 Cu 1.91, 1 Mg 2.00
F  0.6938  0.6938  0.6938  1 Cu 1.82
F  0.7583  0.1437  0.4538  1 Cu 1.91, 1 Mg 2.00
F  0.8563  0.5462  0.2417  1 Cu 1.91, 1 Mg 2.00


[3]
The following is a PBE calculation of a relaxed structure of Cs3Mg2CuF9, from the Alexandria database.

Output
Its uncorrected formation energy is -2.769 eV per atom.

Lattice parameters (Å, degrees): 6.0172 6.0172 7.3746 90.00 90.00 120.00
Closest atoms and distances in Å follow each position.
Fractional coordinates of all 15 atoms:
Cs  0.0000  0.0000  0.0000  12 F 3.00-3.01
Cs  0.3333  0.6667  0.6632  12 F 3.00-3.03
Cs  0.6667  0.3333  0.3368  12 F 3.00-3.03
Mg  0.3333  0.6667  0.1619  6 F 2.11-2.12
Mg  0.6667  0.3333  0.8381  6 F 2.11-2.12
Cu  0.0000  0.0000  0.5000  6 F 2.15
F  0.0000  0.5000  0.0000  2 Mg 2.11
F  0.1683  0.3365  0.3307  1 Mg 2.12, 1 Cu 2.15
F  0.1683  0.8317  0.3307  1 Mg 2.12, 1 Cu 2.15
F  0.3365  0.1683  0.6693  1 Mg 2.12, 1 Cu 2.15
F  0.5000  0.0000  0.0000  2 Mg 2.11
F  0.5000  0.5000  0.0000  2 Mg 2.11
F  0.6635  0.8317  0.3307  1 Mg 2.12, 1 Cu 2.15
F  0.8317  0.1683  0.6693  1 Mg 2.12, 1 Cu 2.15
F  0.8317  0.6635  0.6693  1 Mg 2.12, 1 Cu 2.15